A plane-wave DFT calculation with GGA-PBE was carried out for Dy2Al4PdAu3 after structural relaxation.

Structure (extended XYZ):
```
10
Lattice="-1.9931 -2.9124 2.4325 2.1762 -3.1282 -1.9622 7.6905 0.7982 7.2568" Properties=species:S:1:pos:R:3 pbc="T T T"
Al 0.0000 0.0000 0.0000
Al 3.8345 -0.9548 5.7749
Al 3.9475 -1.2673 1.7171
Al 0.0916 -3.0203 0.2352
Au 5.6345 -0.7680 7.4734
Au 3.8452 0.3991 3.6284
Au 2.1475 -1.4541 0.0186
Pd 3.9368 -2.6212 3.8636
Dy 0.9364 -1.2556 3.0402
Dy 6.8456 -0.9665 4.4518
```

energy of formation from the pure elements: -0.75 eV per atom
volume: 19.48 A^3/atom
symmetry: No. 115
density: 9.63 Mg/m³
D(E_F): 5.1 states/eV/cell